Computed, not measured: a geometry-optimized Mn2GaReSe structure at the PBE level of DFT.

Summary:
Final energy (eV/atom): -7.317
Energy relative to the elements, uncorrected (eV/atom): 0.142
Polymorph energy (0 for the lowest one) (eV/atom): 0.137
Size of the total moment (Bohr magnetons per cell): 0.00

a = 2.908 Å, b = 2.908 Å, c = 15.642 Å
α = 90.00°, β = 90.00°, γ = 90.00°
Space group I4mm (No. 107)
Symmetry-distinct sites (fractional):
Mn (0.000, 0.000, 0.000) (multiplicity 2)
Mn (0.000, 0.000, 0.201) (multiplicity 2)
Ga (0.000, 0.000, 0.596) (multiplicity 2)
Re (0.000, 0.000, 0.406) (multiplicity 2)
Se (0.000, 0.000, 0.783) (multiplicity 2)